A plane-wave DFT calculation with PBEsol was carried out for Nd2Pd2O5 after structural relaxation.

Cell: 6.546 6.546 5.531 Å, 90.00 90.00 90.00°
Atoms (fractional coordinates):
Nd1 0.107 0.261 0.000
Nd2 0.261 0.893 0.500
Nd3 0.739 0.107 0.500
Nd4 0.893 0.739 0.000
Pd1 0.307 0.404 0.500
Pd2 0.404 0.693 0.000
Pd3 0.596 0.307 0.000
Pd4 0.693 0.596 0.500
O1 0.000 0.000 0.250
O2 0.000 0.000 0.750
O3 0.196 0.596 0.242
O4 0.196 0.596 0.758
O5 0.404 0.196 0.258
O6 0.404 0.196 0.742
O7 0.596 0.804 0.258
O8 0.596 0.804 0.742
O9 0.804 0.404 0.242
O10 0.804 0.404 0.758

## Properties
- formation energy from raw total energies (eV per formula unit) = -19.58
- space-group type = P4_2/m, No. 84

---

A plane-wave DFT calculation with PBEsol was carried out for PrNdO2 after structural relaxation.

Cell: 6.142 6.142 6.142 Å, 33.45 33.45 33.45°
Atoms (fractional coordinates):
Pr1 0.000 0.000 0.000
Nd1 0.500 0.500 0.500
O1 0.247 0.247 0.247
O2 0.753 0.753 0.753

## Properties
- formation energy from raw total energies (eV per formula unit) = -11.27
- space-group type = R-3m, No. 166
- energy above the lowest structure with this stoichiometry (meV per atom) = 0

---

A plane-wave DFT calculation with PBEsol was carried out for PrNdO2 after structural relaxation.

Cell: 6.133 6.133 6.133 Å, 131.84 131.84 70.48°
Atoms (fractional coordinates):
Pr1 0.375 0.625 0.750
Pr2 0.625 0.375 0.250
Nd1 0.125 0.875 0.250
Nd2 0.875 0.125 0.750
O1 0.123 0.373 0.750
O2 0.373 0.123 0.250
O3 0.627 0.877 0.750
O4 0.877 0.627 0.250

## Properties
- formation energy from raw total energies (eV per formula unit) = -11.26
- space-group type = I4_1/amd, No. 141
- energy above the lowest structure with this stoichiometry (meV per atom) = 3

---

A plane-wave DFT calculation with PBEsol was carried out for Nd2Pt2O7 after structural relaxation.

Cell: 7.335 7.335 7.335 Å, 60.00 60.00 60.00°
Atoms (fractional coordinates):
Nd1 0.000 0.000 0.000
Nd2 0.000 0.000 0.500
Nd3 0.000 0.500 0.000
Nd4 0.500 0.000 0.000
Pt1 0.000 0.500 0.500
Pt2 0.500 0.000 0.500
Pt3 0.500 0.500 0.000
Pt4 0.500 0.500 0.500
O1 0.125 0.125 0.125
O2 0.165 0.165 0.585
O3 0.165 0.585 0.165
O4 0.165 0.585 0.585
O5 0.415 0.415 0.835
O6 0.415 0.835 0.415
O7 0.415 0.835 0.835
O8 0.585 0.165 0.165
O9 0.585 0.165 0.585
O10 0.585 0.585 0.165
O11 0.835 0.415 0.415
O12 0.835 0.415 0.835
O13 0.835 0.835 0.415
O14 0.875 0.875 0.875

## Properties
- formation energy from raw total energies (eV per formula unit) = -21.44
- space-group type = Fd-3m, No. 227

---

A plane-wave DFT calculation with PBEsol was carried out for Nd3Re2O9 after structural relaxation.

Cell: 5.551 6.800 10.949 Å, 77.01 75.54 68.62°
Atoms (fractional coordinates):
Nd1 0.005 0.218 0.270
Nd2 0.228 0.157 0.884
Nd3 0.294 0.602 0.372
Nd4 0.706 0.398 0.628
Nd5 0.772 0.843 0.116
Nd6 0.995 0.782 0.730
Re1 0.348 0.126 0.570
Re2 0.484 0.613 0.907
Re3 0.516 0.387 0.093
Re4 0.652 0.874 0.430
O1 0.061 0.114 0.719
O2 0.080 0.213 0.473
O3 0.132 0.812 0.938
O4 0.180 0.504 0.197
O5 0.285 0.424 0.583
O6 0.349 0.473 0.817
O7 0.391 0.167 0.074
O8 0.404 0.808 0.593
O9 0.412 0.928 0.314
O10 0.588 0.072 0.686
O11 0.596 0.192 0.407
O12 0.609 0.833 0.926
O13 0.651 0.527 0.183
O14 0.715 0.576 0.417
O15 0.820 0.496 0.803
O16 0.868 0.188 0.062
O17 0.920 0.787 0.527
O18 0.939 0.886 0.281

## Properties
- formation energy from raw total energies (eV per formula unit) = -36.42
- space-group type = P-1, No. 2

---

A plane-wave DFT calculation with PBEsol was carried out for Nd3RuO7 after structural relaxation.

Cell: 6.558 6.558 7.482 Å, 90.00 90.00 67.79°
Atoms (fractional coordinates):
Nd1 0.000 0.000 0.000
Nd2 0.000 0.000 0.500
Nd3 0.093 0.467 0.750
Nd4 0.467 0.093 0.250
Nd5 0.533 0.907 0.750
Nd6 0.907 0.533 0.250
Ru1 0.500 0.500 0.000
Ru2 0.500 0.500 0.500
O1 0.101 0.161 0.250
O2 0.161 0.101 0.750
O3 0.189 0.560 0.042
O4 0.189 0.560 0.458
O5 0.416 0.584 0.750
O6 0.440 0.811 0.042
O7 0.440 0.811 0.458
O8 0.560 0.189 0.542
O9 0.560 0.189 0.958
O10 0.584 0.416 0.250
O11 0.811 0.440 0.542
O12 0.811 0.440 0.958
O13 0.839 0.899 0.250
O14 0.899 0.839 0.750

## Properties
- formation energy from raw total energies (eV per formula unit) = -29.43
- space-group type = Cmcm, No. 63

---

A plane-wave DFT calculation with PBEsol was carried out for SrNdZnRuO6 after structural relaxation.

Cell: 5.501 5.649 9.536 Å, 90.00 125.23 90.00°
Atoms (fractional coordinates):
Sr1 0.000 0.209 0.000
Sr2 0.000 0.791 0.500
Nd1 0.524 0.309 0.501
Nd2 0.524 0.691 0.001
Zn1 0.760 0.240 0.251
Zn2 0.760 0.760 0.751
Ru1 0.257 0.247 0.749
Ru2 0.257 0.753 0.249
O1 0.007 0.477 0.207
O2 0.007 0.523 0.707
O3 0.108 0.234 0.506
O4 0.108 0.766 0.006
O5 0.432 0.275 0.993
O6 0.432 0.725 0.493
O7 0.492 0.041 0.296
O8 0.492 0.959 0.796
O9 0.571 0.459 0.787
O10 0.571 0.541 0.287
O11 0.921 0.056 0.704
O12 0.921 0.944 0.204

## Properties
- formation energy from raw total energies (eV per formula unit) = -21.29
- space-group type = Pc, No. 7

---

A plane-wave DFT calculation with PBEsol was carried out for Nd2S3O12 after structural relaxation.

Cell: 11.237 11.237 6.917 Å, 105.81 105.81 34.40°
Atoms (fractional coordinates):
Nd1 0.010 0.726 0.865
Nd2 0.274 0.990 0.635
Nd3 0.726 0.010 0.365
Nd4 0.990 0.274 0.135
S1 0.133 0.499 0.318
S2 0.167 0.833 0.750
S3 0.499 0.133 0.818
S4 0.501 0.867 0.182
S5 0.833 0.167 0.250
S6 0.867 0.501 0.682
O1 0.016 0.632 0.502
O2 0.022 0.090 0.356
O3 0.036 0.658 0.190
O4 0.090 0.022 0.856
O5 0.100 0.396 0.212
O6 0.263 0.689 0.892
O7 0.311 0.737 0.608
O8 0.342 0.964 0.310
O9 0.346 0.359 0.869
O10 0.359 0.346 0.369
O11 0.368 0.984 0.998
O12 0.396 0.100 0.712
O13 0.604 0.900 0.288
O14 0.632 0.016 0.002
O15 0.641 0.654 0.631
O16 0.654 0.641 0.131
O17 0.658 0.036 0.690
O18 0.689 0.263 0.392
O19 0.737 0.311 0.108
O20 0.900 0.604 0.788
O21 0.910 0.978 0.144
O22 0.964 0.342 0.810
O23 0.978 0.910 0.644
O24 0.984 0.368 0.498

## Properties
- formation energy from raw total energies (eV per formula unit) = -37.05
- space-group type = C2/c, No. 15

---

A plane-wave DFT calculation with PBEsol was carried out for Nd2SO2 after structural relaxation.

Cell: 3.934 3.934 6.755 Å, 90.00 90.00 120.00°
Atoms (fractional coordinates):
Nd1 0.333 0.667 0.280
Nd2 0.667 0.333 0.720
S1 0.000 0.000 0.000
O1 0.333 0.667 0.630
O2 0.667 0.333 0.370

## Properties
- formation energy from raw total energies (eV per formula unit) = -15.58
- space-group type = P-3m1, No. 164

---

A plane-wave DFT calculation with PBEsol was carried out for Nd4Si2S3O7 after structural relaxation.

Cell: 10.955 10.955 10.955 Å, 114.26 114.26 100.27°
Atoms (fractional coordinates):
Nd1 0.047 0.297 0.094
Nd2 0.047 0.953 0.750
Nd3 0.171 0.657 0.513
Nd4 0.297 0.047 0.594
Nd5 0.297 0.703 0.250
Nd6 0.343 0.356 0.513
Nd7 0.343 0.829 0.987
Nd8 0.356 0.343 0.013
Nd9 0.644 0.657 0.987
Nd10 0.657 0.171 0.013
Nd11 0.657 0.644 0.487
Nd12 0.703 0.297 0.750
Nd13 0.703 0.953 0.406
Nd14 0.829 0.343 0.487
Nd15 0.953 0.047 0.250
Nd16 0.953 0.703 0.906
Si1 0.097 0.223 0.626
Si2 0.097 0.472 0.874
Si3 0.223 0.097 0.126
Si4 0.472 0.097 0.374
Si5 0.528 0.903 0.626
Si6 0.777 0.903 0.874
Si7 0.903 0.528 0.126
Si8 0.903 0.777 0.374
S1 0.000 0.352 0.352
S2 0.000 0.648 0.648
S3 0.125 0.875 0.250
S4 0.352 0.000 0.852
S5 0.352 0.500 0.352
S6 0.375 0.625 0.750
S7 0.500 0.352 0.852
S8 0.500 0.648 0.148
S9 0.625 0.375 0.250
S10 0.648 0.000 0.148
S11 0.648 0.500 0.648
S12 0.875 0.125 0.750
O1 0.078 0.566 0.230
O2 0.078 0.848 0.512
O3 0.148 0.398 0.750
O4 0.152 0.164 0.230
O5 0.152 0.922 0.988
O6 0.164 0.152 0.730
O7 0.164 0.434 0.012
O8 0.175 0.196 0.521
O9 0.175 0.653 0.979
O10 0.196 0.175 0.021
O11 0.347 0.825 0.521
O12 0.398 0.148 0.250
O13 0.434 0.164 0.512
O14 0.434 0.922 0.270
O15 0.566 0.078 0.730
O16 0.566 0.836 0.488
O17 0.602 0.852 0.750
O18 0.653 0.175 0.479
O19 0.804 0.825 0.979
O20 0.825 0.347 0.021
O21 0.825 0.804 0.479
O22 0.836 0.566 0.988
O23 0.836 0.848 0.270
O24 0.848 0.078 0.012
O25 0.848 0.836 0.770
O26 0.852 0.602 0.250
O27 0.922 0.152 0.488
O28 0.922 0.434 0.770

## Properties
- formation energy from raw total energies (eV per formula unit) = -46.39
- space-group type = I4_1/amd, No. 141

---

A plane-wave DFT calculation with PBEsol was carried out for Nd2SbO2 after structural relaxation.

Cell: 7.360 7.360 7.360 Å, 148.93 148.93 44.52°
Atoms (fractional coordinates):
Nd1 0.162 0.162 0.000
Nd2 0.838 0.838 0.000
Sb1 0.500 0.500 0.000
O1 0.250 0.750 0.500
O2 0.750 0.250 0.500

## Properties
- formation energy from raw total energies (eV per formula unit) = -13.15
- space-group type = I4/mmm, No. 139

---

A plane-wave DFT calculation with PBEsol was carried out for Nd3SbO7 after structural relaxation.

Cell: 6.619 6.619 7.683 Å, 90.00 90.00 109.78°
Atoms (fractional coordinates):
Nd1 0.000 0.000 0.000
Nd2 0.000 0.000 0.500
Nd3 0.033 0.499 0.750
Nd4 0.499 0.033 0.250
Nd5 0.501 0.967 0.750
Nd6 0.967 0.501 0.250
Sb1 0.500 0.500 0.000
Sb2 0.500 0.500 0.500
O1 0.130 0.870 0.250
O2 0.134 0.866 0.750
O3 0.185 0.430 0.028
O4 0.185 0.430 0.472
O5 0.430 0.185 0.528
O6 0.430 0.185 0.972
O7 0.436 0.564 0.750
O8 0.564 0.436 0.250
O9 0.570 0.815 0.028
O10 0.570 0.815 0.472
O11 0.815 0.570 0.528
O12 0.815 0.570 0.972
O13 0.866 0.134 0.250
O14 0.870 0.130 0.750

## Properties
- formation energy from raw total energies (eV per formula unit) = -31.86
- space-group type = Cmcm, No. 63

---

A plane-wave DFT calculation with PBEsol was carried out for SrNdScO4 after structural relaxation.

Cell: 6.720 6.720 5.826 Å, 90.00 90.00 130.66°
Atoms (fractional coordinates):
Sr1 0.105 0.895 0.500
Sr2 0.895 0.105 0.000
Nd1 0.392 0.608 0.472
Nd2 0.608 0.392 0.972
Sc1 0.247 0.753 0.983
Sc2 0.753 0.247 0.483
O1 0.031 0.482 0.727
O2 0.084 0.916 0.920
O3 0.430 0.570 0.078
O4 0.482 0.031 0.227
O5 0.518 0.969 0.727
O6 0.570 0.430 0.578
O7 0.916 0.084 0.420
O8 0.969 0.518 0.227

## Properties
- formation energy from raw total energies (eV per formula unit) = -22.87
- space-group type = Cmc2_1, No. 36

---

A plane-wave DFT calculation with PBEsol was carried out for Nd2Se3O9 after structural relaxation.

Cell: 8.319 13.975 6.934 Å, 90.00 90.00 90.00°
Atoms (fractional coordinates):
Nd1 0.201 0.062 0.183
Nd2 0.201 0.438 0.183
Nd3 0.299 0.562 0.683
Nd4 0.299 0.938 0.683
Nd5 0.701 0.062 0.317
Nd6 0.701 0.438 0.317
Nd7 0.799 0.562 0.817
Nd8 0.799 0.938 0.817
Se1 0.040 0.750 0.907
Se2 0.048 0.127 0.679
Se3 0.048 0.373 0.679
Se4 0.452 0.627 0.179
Se5 0.452 0.873 0.179
Se6 0.460 0.250 0.407
Se7 0.540 0.750 0.593
Se8 0.548 0.127 0.821
Se9 0.548 0.373 0.821
Se10 0.952 0.627 0.321
Se11 0.952 0.873 0.321
Se12 0.960 0.250 0.093
O1 0.052 0.653 0.755
O2 0.052 0.847 0.755
O3 0.076 0.040 0.857
O4 0.076 0.460 0.857
O5 0.117 0.571 0.414
O6 0.117 0.929 0.414
O7 0.165 0.250 0.068
O8 0.210 0.099 0.533
O9 0.210 0.401 0.533
O10 0.290 0.599 0.033
O11 0.290 0.901 0.033
O12 0.335 0.750 0.568
O13 0.383 0.071 0.914
O14 0.383 0.429 0.914
O15 0.424 0.540 0.357
O16 0.424 0.960 0.357
O17 0.448 0.153 0.255
O18 0.448 0.347 0.255
O19 0.552 0.653 0.745
O20 0.552 0.847 0.745
O21 0.576 0.040 0.643
O22 0.576 0.460 0.643
O23 0.617 0.571 0.086
O24 0.617 0.929 0.086
O25 0.665 0.250 0.432
O26 0.710 0.099 0.967
O27 0.710 0.401 0.967
O28 0.790 0.599 0.467
O29 0.790 0.901 0.467
O30 0.835 0.750 0.932
O31 0.883 0.071 0.586
O32 0.883 0.429 0.586
O33 0.924 0.540 0.143
O34 0.924 0.960 0.143
O35 0.948 0.153 0.245
O36 0.948 0.347 0.245

## Properties
- formation energy from raw total energies (eV per formula unit) = -26.13
- space-group type = Pnma, No. 62